(1)
SmVBrO4: relaxed, GGA+U.

a = 6.8168 Å, b = 6.8168 Å, c = 6.8950 Å
α = 101.13°, β = 101.13°, γ = 56.76°
Positions (direct):
Sm: 0.2062 0.2062 0.3370
Sm: 0.7938 0.7938 0.6630
V: 0.1326 0.1326 0.7581
V: 0.8674 0.8674 0.2419
Br: 0.4779 0.4779 0.8290
Br: 0.5221 0.5221 0.1710
O: 0.0123 0.0123 0.2649
O: 0.0312 0.6142 0.3758
O: 0.2006 0.2006 0.0034
O: 0.3858 0.9688 0.6242
O: 0.6142 0.0312 0.3758
O: 0.7994 0.7994 0.9966
O: 0.9688 0.3858 0.6242
O: 0.9877 0.9877 0.7351

Output
Total DFT energy (no corrections), eV per cell: -98.2

***

(2)
SmWBrO4: relaxed, GGA+U.

a = 6.5486 Å, b = 6.5486 Å, c = 7.0936 Å
α = 103.92°, β = 103.92°, γ = 69.47°
Positions (direct):
Sm: 0.2303 0.2303 0.1213
Sm: 0.7697 0.7697 0.8787
W: 0.3648 0.3648 0.7354
W: 0.6352 0.6352 0.2646
Br: 0.0116 0.0116 0.7553
Br: 0.9884 0.9884 0.2447
O: 0.1148 0.4916 0.8480
O: 0.2998 0.2998 0.4713
O: 0.4599 0.4599 0.1967
O: 0.4916 0.1148 0.8480
O: 0.5084 0.8852 0.1520
O: 0.5401 0.5401 0.8033
O: 0.7002 0.7002 0.5287
O: 0.8852 0.5084 0.1520

Output
Total DFT energy (no corrections), eV per cell: -100.0